[1]
{"formula": "Ni3SnO", "functional": "PBE with a Hubbard U", "state": "relaxed", "final_energy_ha_per_atom": -0.1209, "n_ef_per_ev_atom": 0.28, "spacegroup": "Pm-3m, No. 221", "de_polymorph_mev_per_atom": 0.0, "cell": [[4.067, 0.000, 0.000], [0.000, 4.067, 0.000], [0.000, 0.000, 4.067]], "species": ["Ni", "Ni", "Ni", "Sn", "O"], "frac_coords": [[0.000, 0.500, 0.000], [0.000, 0.000, 0.500], [0.500, 0.000, 0.000], [0.500, 0.500, 0.500], [0.000, 0.000, 0.000]]}

***

[2]
{"formula": "Ni3SnO", "functional": "PBE with a Hubbard U", "state": "relaxed", "final_energy_ha_per_atom": -0.0703, "n_ef_per_ev_atom": 0.82, "spacegroup": "Pm-3m, No. 221", "de_polymorph_mev_per_atom": 1376.3, "cell": [[4.852, 0.000, 0.000], [0.000, 4.852, 0.000], [0.000, 0.000, 4.852]], "species": ["Ni", "Ni", "Ni", "Sn", "O"], "frac_coords": [[0.000, 0.500, 0.000], [0.000, 0.000, 0.500], [0.500, 0.000, 0.000], [0.000, 0.000, 0.000], [0.500, 0.500, 0.500]]}

***

[3]
{"formula": "SrNi2Sn2O7", "functional": "PBE with a Hubbard U", "state": "relaxed", "final_energy_ha_per_atom": -0.2114, "spacegroup": "I4/mmm, No. 139", "cell": [[-2.949, 2.947, -0.109], [-2.014, -1.901, 3.117], [6.886, 4.094, 4.157]], "species": ["Sr", "Ni", "Ni", "Sn", "Sn", "O", "O", "O", "O", "O", "O", "O"], "frac_coords": [[0.000, 0.000, 0.000], [0.250, 0.750, 0.500], [0.750, 0.250, 0.500], [0.382, 0.382, 0.764], [0.618, 0.618, 0.236], [0.379, 0.879, 0.759], [0.739, 0.739, 0.478], [0.121, 0.621, 0.241], [0.621, 0.121, 0.241], [0.261, 0.261, 0.522], [0.879, 0.379, 0.759], [0.500, 0.500, 0.000]]}

***

[4]
{"formula": "Sr4NiSn3O12", "functional": "PBE with a Hubbard U", "state": "relaxed", "final_energy_ha_per_atom": -0.2199, "n_ef_per_ev_atom": 0.62, "spacegroup": "Im-3m, No. 229", "cell": [[-3.783, 3.312, 4.966], [-3.793, -5.319, -2.695], [5.932, -2.554, 2.869]], "species": ["Sr", "Sr", "Sr", "Sr", "Ni", "Sn", "Sn", "Sn", "O", "O", "O", "O", "O", "O", "O", "O", "O", "O", "O", "O"], "frac_coords": [[0.500, 0.500, 0.500], [0.000, 0.000, 0.500], [0.500, 0.000, 0.000], [0.000, 0.500, 0.000], [0.000, 0.000, 0.000], [0.500, 0.000, 0.500], [0.500, 0.500, 0.000], [0.000, 0.500, 0.500], [0.250, 0.500, 0.750], [0.752, 0.000, 0.752], [0.248, 0.000, 0.248], [0.750, 0.500, 0.250], [0.752, 0.752, 0.000], [0.248, 0.248, 0.000], [0.750, 0.250, 0.500], [0.250, 0.750, 0.500], [0.500, 0.250, 0.750], [0.000, 0.752, 0.752], [0.500, 0.750, 0.250], [0.000, 0.248, 0.248]]}

***

[5]
{"formula": "TaNiSnO6", "functional": "PBE with a Hubbard U", "state": "relaxed", "final_energy_ha_per_atom": -0.2614, "spacegroup": "P4_2nm, No. 102", "cell": [[-4.330, 1.353, -1.312], [-1.852, -2.439, 3.595], [0.699, 7.545, 5.477]], "species": ["Ta", "Ta", "Ni", "Ni", "Sn", "Sn", "O", "O", "O", "O", "O", "O", "O", "O", "O", "O", "O", "O"], "frac_coords": [[0.500, 0.500, 0.165], [0.000, 0.000, 0.665], [0.500, 0.500, 0.832], [0.000, 0.000, 0.332], [0.500, 0.500, 0.501], [0.000, 0.000, 0.001], [0.190, 0.810, 0.503], [0.810, 0.190, 0.503], [0.310, 0.310, 0.003], [0.690, 0.690, 0.003], [0.199, 0.801, 0.171], [0.801, 0.199, 0.171], [0.301, 0.301, 0.671], [0.699, 0.699, 0.671], [0.799, 0.201, 0.827], [0.201, 0.799, 0.827], [0.701, 0.701, 0.327], [0.299, 0.299, 0.327]]}

***

[6]
{"formula": "TbNi2SnO6", "functional": "PBE with a Hubbard U", "state": "relaxed", "final_energy_ha_per_atom": -0.2242, "n_ef_per_ev_atom": 0.29, "spacegroup": "P1, No. 1", "cell": [[5.333, 0.007, 0.000], [2.669, 4.627, -0.009], [2.662, 1.544, 4.725]], "species": ["Tb", "Ni", "Ni", "Sn", "O", "O", "O", "O", "O", "O"], "frac_coords": [[0.799, 0.799, 0.602], [0.519, 0.518, 0.445], [0.013, 0.013, 0.961], [0.312, 0.313, 0.062], [0.623, 0.237, 0.234], [0.236, 0.907, 0.233], [0.906, 0.623, 0.234], [0.365, 0.729, 0.748], [0.730, 0.157, 0.749], [0.158, 0.365, 0.747]]}

***

[7]
{"formula": "TcNi2SnO6", "functional": "PBE with a Hubbard U", "state": "relaxed", "final_energy_ha_per_atom": -0.2138, "n_ef_per_ev_atom": 0.43, "spacegroup": "P4mm, No. 99", "cell": [[-2.075, 2.718, -2.170], [3.040, -1.428, -4.696], [-3.917, -4.034, -1.308]], "species": ["Tc", "Ni", "Ni", "Sn", "O", "O", "O", "O", "O", "O"], "frac_coords": [[0.629, 0.000, 0.000], [0.852, 0.500, 0.000], [0.852, 0.000, 0.500], [0.682, 0.500, 0.500], [0.758, 0.239, 0.239], [0.758, 0.239, 0.761], [0.194, 0.500, 0.500], [0.208, 0.000, 0.000], [0.758, 0.761, 0.761], [0.758, 0.761, 0.239]]}

***

[8]
{"formula": "Ni2SnTeO6", "functional": "PBE with a Hubbard U", "state": "relaxed", "final_energy_ha_per_atom": -0.1808, "spacegroup": "P4mm, No. 99", "cell": [[-3.712, 0.464, 3.398], [-3.306, -3.122, -3.185], [1.806, -4.562, 2.596]], "species": ["Ni", "Ni", "Sn", "Te", "O", "O", "O", "O", "O", "O"], "frac_coords": [[0.899, 0.500, 0.000], [0.899, 0.000, 0.500], [0.597, 0.000, 0.000], [0.572, 0.500, 0.500], [0.765, 0.245, 0.245], [0.765, 0.245, 0.755], [0.203, 0.500, 0.500], [0.219, 0.000, 0.000], [0.765, 0.755, 0.755], [0.765, 0.755, 0.245]]}

***

[9]
{"formula": "NiSnTeO6", "functional": "PBE with a Hubbard U", "state": "relaxed", "final_energy_ha_per_atom": -0.2053, "spacegroup": "P-31c, No. 163", "cell": [[-3.731, 2.032, 2.888], [-1.191, -2.764, -4.163], [-0.189, -7.473, 5.015]], "species": ["Ni", "Ni", "Sn", "Sn", "Te", "Te", "O", "O", "O", "O", "O", "O", "O", "O", "O", "O", "O", "O"], "frac_coords": [[0.333, 0.667, 0.250], [0.667, 0.333, 0.750], [0.000, 0.000, 0.000], [0.000, 0.000, 0.500], [0.667, 0.333, 0.250], [0.333, 0.667, 0.750], [0.664, 0.648, 0.130], [0.985, 0.336, 0.130], [0.336, 0.985, 0.630], [0.015, 0.664, 0.870], [0.352, 0.336, 0.370], [0.985, 0.648, 0.370], [0.648, 0.985, 0.870], [0.664, 0.015, 0.370], [0.015, 0.352, 0.630], [0.352, 0.015, 0.130], [0.648, 0.664, 0.630], [0.336, 0.352, 0.870]]}

***

[10]
{"formula": "Tl2NiSnO6", "functional": "PBE with a Hubbard U", "state": "relaxed", "final_energy_ha_per_atom": -0.1875, "n_ef_per_ev_atom": 0.04, "spacegroup": "C2, No. 5", "cell": [[-3.235, 4.203, -1.201], [-4.520, 1.101, 3.374], [-0.045, 4.576, 3.477]], "species": ["Tl", "Tl", "Ni", "Sn", "O", "O", "O", "O", "O", "O"], "frac_coords": [[0.536, 0.545, 0.322], [0.096, 0.046, 0.823], [0.816, 0.815, 0.553], [0.316, 0.316, 0.052], [0.486, 0.136, 0.384], [0.147, 0.984, 0.232], [0.934, 0.589, 0.263], [0.496, 0.641, 0.881], [0.699, 0.105, 0.779], [0.136, 0.486, 0.727]]}

***

[11]
{"formula": "TlNiSn2O", "functional": "PBE with a Hubbard U", "state": "relaxed", "final_energy_ha_per_atom": -0.0779, "n_ef_per_ev_atom": 0.86, "spacegroup": "P4/mmm, No. 123", "cell": [[5.633, 0.000, 0.000], [0.000, 4.689, 0.000], [0.000, 0.000, 5.633]], "species": ["Ni", "Tl", "Sn", "Sn", "O"], "frac_coords": [[0.000, 0.500, 0.000], [0.000, 0.000, 0.000], [0.000, 0.000, 0.500], [0.500, 0.000, 0.000], [0.500, 0.500, 0.500]]}

***

[12]
{"formula": "TmNi2SnO6", "functional": "PBE with a Hubbard U", "state": "relaxed", "final_energy_ha_per_atom": -0.2247, "n_ef_per_ev_atom": 0.31, "spacegroup": "R3, No. 146", "cell": [[5.299, 0.004, -0.004], [2.652, 4.593, -0.006], [2.650, 1.530, 4.730]], "species": ["Tm", "Ni", "Ni", "Sn", "O", "O", "O", "O", "O", "O"], "frac_coords": [[0.804, 0.804, 0.587], [0.518, 0.518, 0.447], [0.014, 0.014, 0.959], [0.313, 0.313, 0.060], [0.622, 0.232, 0.238], [0.232, 0.908, 0.237], [0.908, 0.622, 0.238], [0.377, 0.728, 0.750], [0.728, 0.146, 0.750], [0.146, 0.377, 0.749]]}

***

[13]
{"formula": "Tm2NiSnO6", "functional": "PBE with a Hubbard U", "state": "relaxed", "final_energy_ha_per_atom": -0.2583, "n_ef_per_ev_atom": 0.00, "spacegroup": "R3, No. 146", "cell": [[-2.912, -1.252, -4.508], [-3.224, -4.469, -0.045], [-5.721, 0.729, 0.125]], "species": ["Tm", "Tm", "Ni", "Sn", "O", "O", "O", "O", "O", "O"], "frac_coords": [[0.527, 0.527, 0.419], [0.028, 0.028, 0.916], [0.813, 0.813, 0.561], [0.314, 0.314, 0.058], [0.601, 0.194, 0.259], [0.194, 0.946, 0.259], [0.946, 0.601, 0.259], [0.439, 0.692, 0.762], [0.692, 0.107, 0.762], [0.107, 0.439, 0.762]]}

***

[14]
{"formula": "UNiSnO6", "functional": "PBE with a Hubbard U", "state": "relaxed", "final_energy_ha_per_atom": -0.2674, "n_ef_per_ev_atom": 0.00, "spacegroup": "P-31c, No. 163", "cell": [[-2.601, 4.218, 2.221], [-2.814, -3.914, -2.502], [-0.656, -4.496, 7.772]], "species": ["U", "U", "Ni", "Ni", "Sn", "Sn", "O", "O", "O", "O", "O", "O", "O", "O", "O", "O", "O", "O"], "frac_coords": [[0.333, 0.667, 0.250], [0.667, 0.333, 0.750], [0.000, 0.000, 0.000], [0.000, 0.000, 0.500], [0.667, 0.333, 0.250], [0.333, 0.667, 0.750], [0.663, 0.663, 0.129], [0.000, 0.337, 0.129], [0.337, 0.000, 0.629], [0.000, 0.663, 0.871], [0.337, 0.337, 0.371], [0.000, 0.663, 0.371], [0.663, 0.000, 0.871], [0.663, 0.000, 0.371], [0.000, 0.337, 0.629], [0.337, 0.000, 0.129], [0.663, 0.663, 0.629], [0.337, 0.337, 0.871]]}

***

[15]
{"formula": "YNiSn2O", "functional": "PBE with a Hubbard U", "state": "relaxed", "final_energy_ha_per_atom": -0.1569, "n_ef_per_ev_atom": 0.79, "spacegroup": "P4/mmm, No. 123", "cell": [[4.574, 0.000, 0.000], [0.000, 5.522, 0.000], [0.000, 0.000, 4.574]], "species": ["Y", "Ni", "Sn", "Sn", "O"], "frac_coords": [[0.000, 0.500, 0.000], [0.000, 0.000, 0.000], [0.000, 0.000, 0.500], [0.500, 0.000, 0.000], [0.500, 0.500, 0.500]]}

***

[16]
{"formula": "Zn2Ni2SnO6", "functional": "PBE with a Hubbard U", "state": "relaxed", "final_energy_ha_per_atom": -0.1851, "spacegroup": "C2/m, No. 12", "cell": [[5.288, 0.033, 0.068], [-2.585, 4.613, 0.068], [-1.001, -1.720, 4.932]], "species": ["Zn", "Zn", "Ni", "Ni", "Sn", "O", "O", "O", "O", "O", "O"], "frac_coords": [[0.821, 0.179, 0.000], [0.179, 0.821, 0.000], [0.339, 0.661, 0.500], [0.661, 0.339, 0.500], [0.000, 0.000, 0.500], [0.764, 0.764, 0.730], [0.052, 0.402, 0.734], [0.236, 0.236, 0.270], [0.402, 0.052, 0.734], [0.948, 0.598, 0.266], [0.598, 0.948, 0.266]]}

***

[17]
{"formula": "ZrNi2SnO6", "functional": "PBE with a Hubbard U", "state": "relaxed", "final_energy_ha_per_atom": -0.2440, "n_ef_per_ev_atom": 0.00, "spacegroup": "R3, No. 146", "cell": [[-4.079, -0.031, 3.369], [-3.305, -4.131, 0.116], [0.281, -3.488, 4.463]], "species": ["Zr", "Ni", "Ni", "Sn", "O", "O", "O", "O", "O", "O"], "frac_coords": [[0.811, 0.811, 0.566], [0.521, 0.521, 0.438], [0.017, 0.017, 0.950], [0.315, 0.315, 0.055], [0.612, 0.220, 0.249], [0.220, 0.920, 0.249], [0.920, 0.612, 0.249], [0.414, 0.718, 0.753], [0.718, 0.115, 0.754], [0.115, 0.414, 0.753]]}

***

[18]
{"formula": "SrNiO3", "functional": "PBE with a Hubbard U", "state": "relaxed", "final_energy_ha_per_atom": -0.1336, "n_ef_per_ev_atom": 0.91, "spacegroup": "Pm-3m, No. 221", "cell": [[-3.418, -1.734, 2.228], [1.573, -4.075, -0.760], [2.345, 0.205, 3.757]], "species": ["Sr", "O", "O", "O", "Ni"], "frac_coords": [[0.000, 0.000, 0.000], [0.000, 0.500, 0.000], [0.000, 0.000, 0.500], [0.500, 0.000, 0.000], [0.500, 0.500, 0.500]]}

***

[19]
{"formula": "SrNiO2", "functional": "PBE with a Hubbard U", "state": "relaxed", "final_energy_ha_per_atom": -0.1960, "n_ef_per_ev_atom": 0.00, "spacegroup": "Cmcm, No. 63", "cell": [[5.748, 0.000, 0.073], [0.000, 5.559, 0.000], [-1.559, 0.000, 3.864]], "species": ["Ni", "Ni", "O", "O", "O", "O", "Sr", "Sr"], "frac_coords": [[0.432, 0.126, 0.108], [0.411, 0.626, 0.097], [0.663, 0.868, 0.223], [0.180, 0.884, 0.982], [0.663, 0.384, 0.223], [0.180, 0.368, 0.982], [0.808, 0.626, 0.796], [0.035, 0.126, 0.409]]}

***

[20]
{"formula": "SrNiO3", "functional": "PBE with a Hubbard U", "state": "relaxed", "final_energy_ha_per_atom": -0.1859, "n_ef_per_ev_atom": 0.00, "spacegroup": "P2_1/m, No. 11", "cell": [[-0.630, 3.151, 2.455], [4.137, -1.974, 3.594], [4.565, 6.816, -1.511]], "species": ["Sr", "Sr", "O", "O", "O", "O", "O", "O", "Ni", "Ni"], "frac_coords": [[0.119, 0.250, 0.142], [0.881, 0.750, 0.858], [0.606, 0.977, 0.157], [0.394, 0.023, 0.843], [0.606, 0.523, 0.157], [0.394, 0.477, 0.843], [0.783, 0.250, 0.477], [0.217, 0.750, 0.523], [0.546, 0.250, 0.695], [0.454, 0.750, 0.305]]}

***

[21]
{"formula": "SrNiO3", "functional": "PBE with a Hubbard U", "state": "relaxed", "final_energy_ha_per_atom": -0.1638, "n_ef_per_ev_atom": 0.21, "spacegroup": "P4/mmm, No. 123", "cell": [[4.036, 0.000, 0.000], [0.000, 4.036, 0.000], [0.000, 0.000, 4.527]], "species": ["Sr", "O", "O", "O", "Ni"], "frac_coords": [[0.000, 0.000, 0.052], [0.000, 0.000, 0.552], [0.500, 0.000, 0.553], [0.000, 0.500, 0.553], [0.500, 0.500, 0.553]]}

***

[22]
{"formula": "SrNiO3", "functional": "PBE with a Hubbard U", "state": "relaxed", "final_energy_ha_per_atom": -0.1884, "spacegroup": "C2/c, No. 15", "cell": [[-8.814, -5.312, 1.503], [-2.010, -5.615, -4.486], [6.484, -3.452, -1.320]], "species": ["Sr", "Sr", "Sr", "Sr", "O", "O", "O", "O", "O", "O", "O", "O", "O", "O", "O", "O", "Ni", "Ni", "Ni", "Ni"], "frac_coords": [[0.750, 0.146, 0.646], [0.250, 0.854, 0.354], [0.750, 0.559, 0.059], [0.250, 0.441, 0.941], [0.320, 0.478, 0.312], [0.180, 0.812, 0.978], [0.680, 0.522, 0.688], [0.820, 0.188, 0.022], [0.179, 0.229, 0.362], [0.321, 0.862, 0.729], [0.821, 0.771, 0.638], [0.679, 0.138, 0.271], [0.622, 0.006, 0.879], [0.878, 0.379, 0.506], [0.378, 0.994, 0.121], [0.122, 0.621, 0.494], [0.293, 0.339, 0.507], [0.207, 0.007, 0.839], [0.707, 0.661, 0.493], [0.793, 0.993, 0.161]]}